1.
## KNbZn (PBE)

Data for a relaxed KNbZn crystal.

Unit cell a=4.4830 b=4.4832 c=11.5177 alpha=89.51 beta=89.68 gamma=60.01
Last column: nearest neighbours and their distance in Å.
Sites, in units of the cell vectors:
1 K 0.1680 0.1728 0.1837  3 Zn 3.50, 1 Nb 3.66
2 K 0.8320 0.8272 0.8163  3 Zn 3.50, 1 Nb 3.66
3 Nb 0.1660 0.1665 0.5012  3 Nb 2.58-2.59, 3 Zn 2.89
4 Nb 0.8340 0.8335 0.4988  3 Nb 2.58-2.59, 3 Zn 2.89
5 Zn 0.4988 0.4975 0.6121  1 Zn 2.58, 3 Nb 2.89
6 Zn 0.5012 0.5025 0.3879  1 Zn 2.58, 3 Nb 2.89

**DFT total energy**: -3.85 eV/atom
**Excess energy over the best structure of this formula in the dataset**: 72 meV per atom
**SG**: P-1

---

2.
## K3NbZn (PBE)

Data for a relaxed K3NbZn crystal.

Unit cell a=6.2944 b=6.2944 c=6.2944 alpha=90.00 beta=90.00 gamma=90.00
Last column: nearest neighbours and their distance in Å.
Sites, in units of the cell vectors:
1 K 0.0000 0.0000 0.5000  2 Zn 3.15
2 K 0.0000 0.5000 0.0000  2 Zn 3.15
3 K 0.5000 0.0000 0.0000  2 Zn 3.15
4 Nb 0.5000 0.5000 0.5000  12 K 4.45
5 Zn 0.0000 0.0000 0.0000  6 K 3.15

**DFT total energy**: -1.76 eV/atom
**Excess energy over the best structure of this formula in the dataset**: 0 meV per atom
**SG**: Pm-3m

---

Calculated values (eV/atom) of ΔE_f for the records, taken in order: 0.3020 1.1649.